(1)
Compound: Nd4UIr4
Source: Alexandria via LeMat-Bulk
Functional: PBE
Structure: optimized geometry

Cell: 8.7184 8.7184 6.0559 Å, 90.00 90.00 90.00°
Closest atoms and distances in Å follow each position.
Space group P4_2/n (No. 86, origin choice 2)
One atom of each set of equivalent atoms:
Nd 0.0560 0.8280 0.1383 [8 per cell]  5 Ir 2.91-3.12
U 0.2500 0.2500 0.2500 [2 per cell]  4 Ir 2.53
Ir 0.0024 0.8704 0.6359 [8 per cell]  1 U 2.53, 1 Ir 2.80

---

(2)
Compound: NdUIr2
Source: Alexandria via LeMat-Bulk
Functional: PBE
Structure: optimized geometry

Cell: 3.4401 3.4401 7.2131 Å, 90.00 90.00 90.00°
Closest atoms and distances in Å follow each position.
Space group P4/mmm (No. 123)
One atom of each set of equivalent atoms:
Nd 0.0000 0.0000 0.0000 [1 per cell]  8 Ir 3.20, 4 Nd 3.44
U 0.0000 0.0000 0.5000 [1 per cell]  8 Ir 2.87
Ir 0.5000 0.5000 0.2892 [2 per cell]  4 U 2.87, 1 Ir 3.04, 4 Nd 3.20

---

(3)
Compound: NdUIr
Source: Alexandria via LeMat-Bulk
Functional: PBE
Structure: optimized geometry

Cell: 6.1696 12.7796 15.0642 Å, 90.00 90.00 90.00°
Closest atoms and distances in Å follow each position.
Space group Fddd (No. 70, origin choice 2)
One atom of each set of equivalent atoms:
Nd 0.1250 0.1250 0.0207 [16 per cell]  1 Nd 3.14, 2 Ir 3.25, 3 U 3.25-3.36
U 0.1250 0.1250 0.4522 [16 per cell]  4 Ir 2.66-2.94
Ir 0.1250 0.0182 0.6250 [16 per cell]  4 U 2.66-2.94, 1 Ir 2.73

---

(4)
Compound: Nd5UIr4
Source: Alexandria via LeMat-Bulk
Functional: PBE
Structure: optimized geometry

Cell: 17.3187 4.4327 7.3607 Å, 90.00 108.56 90.00°
Closest atoms and distances in Å follow each position.
Space group C2/m (No. 12)
One atom of each set of equivalent atoms:
Nd 0.0000 0.0000 0.0000 [2 per cell]  6 Ir 3.07-3.28
Nd 0.1642 0.5000 0.5552 [4 per cell]  3 Ir 2.92-2.99
Nd 0.1742 0.5000 0.0620 [4 per cell]  4 Ir 2.91-3.20
U 0.0000 0.0000 0.5000 [2 per cell]  6 Ir 2.69-2.71
Ir 0.0065 0.5000 0.7159 [4 per cell]  2 U 2.71, 1 Nd 2.99
Ir 0.1414 0.0000 0.7915 [4 per cell]  1 U 2.69, 4 Nd 2.91-2.92

---

(5)
Compound: NdU2Ir9
Source: Alexandria via LeMat-Bulk
Functional: PBE
Structure: optimized geometry

Cell: 5.3081 5.3081 26.3127 Å, 90.00 90.00 120.00°
Closest atoms and distances in Å follow each position.
Space group R-3m (No. 166, hexagonal axes)
One atom of each set of equivalent atoms:
Nd 0.0000 0.0000 0.0000 [3 per cell]  6 Ir 3.06
U 0.0000 0.0000 0.1404 [6 per cell]  12 Ir 3.04-3.25, 3 U 3.36
Ir 0.0000 0.0000 0.3332 [6 per cell]  6 Ir 2.68-2.70
Ir 0.0000 0.0000 0.5000 [3 per cell]  6 Ir 2.67
Ir 0.0029 0.5015 0.9162 [18 per cell]  7 Ir 2.63-2.70

---

(6)
Compound: NdVIr
Source: Alexandria via LeMat-Bulk
Functional: PBE
Structure: optimized geometry

Values from the calculation:
Distance to the lowest polymorph of the same formula, eV/atom: 0.0000

Cell: 4.1246 4.1246 4.5361 Å, 90.00 90.00 120.00°
Closest atoms and distances in Å follow each position.
Space group P3m1 (No. 156)
One atom of each set of equivalent atoms:
Nd 0.0000 0.0000 0.0000 [1 per cell]  6 Ir 3.20-3.38, 6 V 3.26-3.32
V 0.3333 0.6667 0.4893 [1 per cell]  3 Ir 2.39
Ir 0.6667 0.3333 0.5279 [1 per cell]  3 V 2.39

---

(7)
Compound: NdVIr2
Source: Alexandria via LeMat-Bulk
Functional: PBE
Structure: optimized geometry

Cell: 4.2220 4.2220 15.7377 Å, 90.00 90.00 120.00°
Closest atoms and distances in Å follow each position.
Space group R-3m (No. 166, hexagonal axes)
One atom of each set of equivalent atoms:
Nd 0.0000 0.0000 0.0000 [3 per cell]  8 Ir 3.14-3.27
V 0.0000 0.0000 0.5000 [3 per cell]  6 Ir 2.52
Ir 0.0000 0.0000 0.2079 [6 per cell]  3 V 2.52, 3 Ir 2.76

---

(8)
Compound: NdVIr
Source: Alexandria via LeMat-Bulk
Functional: PBE
Structure: optimized geometry

Values from the calculation:
Distance to the lowest polymorph of the same formula, eV/atom: 0.3605

Cell: 5.8512 5.8512 6.3197 Å, 90.00 90.00 120.00°
Closest atoms and distances in Å follow each position.
Space group P3_212 (No. 153)
One atom of each set of equivalent atoms:
Nd 0.1866 0.3731 0.3333 [3 per cell]  2 Ir 2.74, 2 V 3.06
V 0.5855 0.1710 0.3333 [3 per cell]  2 V 2.54, 3 Ir 2.64-2.65
Ir 0.3063 0.1531 0.0000 [3 per cell]  3 V 2.64-2.65, 2 Nd 2.74

---

(9)
Compound: NdY2Ir
Source: Alexandria via LeMat-Bulk
Functional: PBE
Structure: optimized geometry

Values from the calculation:
Distance to the lowest polymorph of the same formula, eV/atom: 0.3790

Cell: 3.7970 3.7970 31.7356 Å, 90.00 90.00 120.00°
Closest atoms and distances in Å follow each position.
Space group R-3m (No. 166, hexagonal axes)
One atom of each set of equivalent atoms:
Nd 0.0000 0.0000 0.0000 [3 per cell]  2 Y 3.64, 6 Nd 3.80
Y 0.0000 0.0000 0.1147 [6 per cell]  3 Ir 2.74
Ir 0.0000 0.0000 0.5000 [3 per cell]  6 Y 2.74

---

(10)
Compound: NdY3Ir8
Source: Alexandria via LeMat-Bulk
Functional: PBE
Structure: optimized geometry

Cell: 5.3873 5.3873 26.3705 Å, 90.00 90.00 120.00°
Closest atoms and distances in Å follow each position.
Space group R3m (No. 160, hexagonal axes)
One atom of each set of equivalent atoms:
Nd 0.0000 0.0000 0.0000 [3 per cell]  12 Ir 3.16-3.18, 4 Y 3.30
Y 0.0000 0.0000 0.3757 [3 per cell]  12 Ir 3.16-3.19, 1 Y 3.29, 3 Nd 3.30
Y 0.0000 0.0000 0.5003 [3 per cell]  12 Ir 3.14-3.16, 4 Y 3.29
Y 0.0000 0.0000 0.8748 [3 per cell]  12 Ir 3.13-3.16, 3 Y 3.29, 1 Nd 3.30
Ir 0.0000 0.0000 0.1876 [3 per cell]  6 Ir 2.68
Ir 0.0000 0.0000 0.6878 [3 per cell]  6 Ir 2.70-2.71
Ir 0.9996 0.4998 0.9369 [9 per cell]  6 Ir 2.68-2.71
Ir 0.0008 0.5004 0.4384 [9 per cell]  6 Ir 2.68-2.70

---

(11)
Compound: Nd2Y2Ir3
Source: Alexandria via LeMat-Bulk
Functional: PBE
Structure: optimized geometry

Values from the calculation:
Distance to the lowest polymorph of the same formula, eV/atom: 0.1329

Cell: 4.4945 5.9828 7.5389 Å, 98.64 90.07 112.03°
Closest atoms and distances in Å follow each position.
Space group P-1 (No. 2)
One atom of each set of equivalent atoms:
Nd 0.1357 0.2702 0.3557 [2 per cell]  4 Ir 2.83-3.12
Y 0.3603 0.7206 0.0651 [2 per cell]  5 Ir 2.81-2.87
Ir 0.0000 0.0000 0.0000 [1 per cell]  4 Y 2.82, 2 Nd 2.85, 2 Ir 3.13
Ir 0.1895 0.3798 0.7357 [2 per cell]  3 Y 2.81-2.87, 3 Nd 2.83-3.12, 1 Ir 3.13

---

(12)
Compound: NdYIr
Source: Alexandria via LeMat-Bulk
Functional: PBE
Structure: optimized geometry

Values from the calculation:
Distance to the lowest polymorph of the same formula, eV/atom: 0.0000

Cell: 11.5131 13.3193 8.9348 Å, 90.00 90.00 90.00°
Closest atoms and distances in Å follow each position.
Space group Fdd2 (No. 43)
One atom of each set of equivalent atoms:
Nd 0.1060 0.3517 0.0000 [16 per cell]  3 Ir 2.85-3.04
Y 0.0329 0.3715 0.5857 [16 per cell]  4 Ir 2.79-3.02
Ir 0.0524 0.2734 0.3020 [16 per cell]  4 Y 2.79-3.02, 3 Nd 2.85-3.04

---

Number 1: DOS at the Fermi energy 0.99 states/eV per atom, total DFT energy (no corrections) -7.83 eV/atom, energy relative to the elements -4.7 eV per formula unit. Number 2: DOS at the Fermi energy 1.29 states/eV per atom, total DFT energy (no corrections) -8.97 eV/atom, energy relative to the elements -2.1 eV per formula unit. Number 3: DOS at the Fermi energy 2.34 states/eV per atom, total DFT energy (no corrections) -8.40 eV/atom, energy relative to the elements -0.3 eV per formula unit. Number 4: DOS at the Fermi energy 0.98 states/eV per atom, total DFT energy (no corrections) -7.60 eV/atom, energy relative to the elements -5.4 eV per formula unit. Number 5: DOS at the Fermi energy 1.19 states/eV per atom, total DFT energy (no corrections) -9.39 eV/atom, energy relative to the elements -5.6 eV per formula unit. Number 6: DOS at the Fermi energy 1.25 states/eV per atom, total DFT energy (no corrections) -7.86 eV/atom, energy relative to the elements -0.8 eV per formula unit. Number 7: DOS at the Fermi energy 1.26 states/eV per atom, total DFT energy (no corrections) -8.29 eV/atom, energy relative to the elements -1.5 eV per formula unit. Number 8: DOS at the Fermi energy 1.03 states/eV per atom, total DFT energy (no corrections) -7.50 eV/atom, energy relative to the elements 0.3 eV per formula unit. Number 9: DOS at the Fermi energy 1.16 states/eV per atom, total DFT energy (no corrections) -6.79 eV/atom, energy relative to the elements -0.6 eV per formula unit. Number 10: DOS at the Fermi energy 0.80 states/eV per atom, total DFT energy (no corrections) -8.69 eV/atom, energy relative to the elements -9.2 eV per formula unit. Number 11: DOS at the Fermi energy 0.46 states/eV per atom, total DFT energy (no corrections) -7.58 eV/atom, energy relative to the elements -4.0 eV per formula unit. Number 12: DOS at the Fermi energy 1.04 states/eV per atom, total DFT energy (no corrections) -7.30 eV/atom, energy relative to the elements -1.8 eV per formula unit.